#one
# PmNd2Hg8 (PBE-GGA, relaxed)
# total moment	0.00	μB per formula unit
data_PmNd2Hg8
_chemical_formula_sum 'Pm2 Nd4 Hg16'
_cell_length_a 16.198
_cell_length_b 5.092
_cell_length_c 7.336
_cell_angle_alpha 90.00
_cell_angle_beta 110.20
_cell_angle_gamma 90.00
_space_group_name_H-M_alt 'C 1 2/m 1'
_space_group_IT_number 12
loop_
_space_group_symop_operation_xyz
'x,y,z'
'-x,-y,-z'
'-x,y,-z'
'x,-y,z'
'x+1/2,y+1/2,z'
'-x+1/2,-y+1/2,-z'
'-x+1/2,y+1/2,-z'
'x+1/2,-y+1/2,z'
loop_
_atom_site_label
_atom_site_type_symbol
_atom_site_fract_x
_atom_site_fract_y
_atom_site_fract_z
Pm1 Pm 0.000 0.000 0.000
Nd1 Nd 0.209 0.500 0.653
Hg1 Hg 0.021 0.500 0.728
Hg2 Hg 0.094 0.000 0.455
Hg3 Hg 0.152 0.500 0.169
Hg4 Hg 0.171 0.000 0.897

***

#two
# PmNd2Hg8 (PBE-GGA, relaxed)
# total moment	0.00	μB per formula unit
data_PmNd2Hg8
_chemical_formula_sum 'Pm2 Nd4 Hg16'
_cell_length_a 5.231
_cell_length_b 7.468
_cell_length_c 14.866
_cell_angle_alpha 90.00
_cell_angle_beta 90.00
_cell_angle_gamma 90.00
_space_group_name_H-M_alt 'I m m m'
_space_group_IT_number 71
_space_group_name_Hall '-I 2 2'
loop_
_atom_site_label
_atom_site_type_symbol
_atom_site_fract_x
_atom_site_fract_y
_atom_site_fract_z
Pm1 Pm 0.000 0.000 0.000
Nd1 Nd 0.000 0.000 0.307
Hg1 Hg 0.000 0.212 0.500
Hg2 Hg 0.000 0.289 0.146
Hg3 Hg 0.000 0.500 0.343

***

The structure with the least stability is #two.

***

#one
# PmPrNdHg (PBE-GGA, relaxed)
# total moment	0.00	μB per formula unit
data_PmPrNdHg
_chemical_formula_sum 'Pm1 Pr1 Nd1 Hg1'
_cell_length_a 3.755
_cell_length_b 3.755
_cell_length_c 9.014
_cell_angle_alpha 90.00
_cell_angle_beta 90.00
_cell_angle_gamma 90.00
_space_group_name_H-M_alt 'P 4 m m'
_space_group_IT_number 99
loop_
_space_group_symop_operation_xyz
'x,y,z'
'-y,x,z'
'-x,-y,z'
'y,-x,z'
'-x,y,z'
'y,x,z'
'x,-y,z'
'-y,-x,z'
loop_
_atom_site_label
_atom_site_type_symbol
_atom_site_fract_x
_atom_site_fract_y
_atom_site_fract_z
Pm1 Pm 0.000 0.000 0.000
Pr1 Pr 0.500 0.500 0.720
Nd1 Nd 0.000 0.000 0.437
Hg1 Hg 0.500 0.500 0.215

***

#two
# PmPrNdHg (PBE-GGA, relaxed)
# total moment	0.00	μB per formula unit
data_PmPrNdHg
_chemical_formula_sum 'Pm4 Pr4 Nd4 Hg4'
_cell_length_a 7.885
_cell_length_b 7.885
_cell_length_c 7.885
_cell_angle_alpha 90.00
_cell_angle_beta 90.00
_cell_angle_gamma 90.00
_space_group_name_H-M_alt 'F -4 3 m'
_space_group_IT_number 216
_space_group_name_Hall 'F -4 2 3'
loop_
_atom_site_label
_atom_site_type_symbol
_atom_site_fract_x
_atom_site_fract_y
_atom_site_fract_z
Pm1 Pm 0.000 0.000 0.000
Pr1 Pr 0.250 0.250 0.750
Nd1 Nd 0.250 0.250 0.250
Hg1 Hg 0.000 0.000 0.500

***

The structure with the least stability is #two.

***

#one
# PmNdHgRu (PBE-GGA, relaxed)
# total moment	0.00	μB per formula unit
data_PmNdHgRu
_chemical_formula_sum 'Pm4 Nd4 Hg4 Ru4'
_cell_length_a 7.320
_cell_length_b 7.320
_cell_length_c 7.320
_cell_angle_alpha 90.00
_cell_angle_beta 90.00
_cell_angle_gamma 90.00
_space_group_name_H-M_alt 'F -4 3 m'
_space_group_IT_number 216
_space_group_name_Hall 'F -4 2 3'
loop_
_atom_site_label
_atom_site_type_symbol
_atom_site_fract_x
_atom_site_fract_y
_atom_site_fract_z
Pm1 Pm 0.000 0.000 0.000
Nd1 Nd 0.000 0.000 0.500
Hg1 Hg 0.250 0.250 0.250
Ru1 Ru 0.250 0.250 0.750

***

#two
# PmNdHgRu (PBE-GGA, relaxed)
# total moment	0.00	μB per formula unit
data_PmNdHgRu
_chemical_formula_sum 'Pm1 Nd1 Hg1 Ru1'
_cell_length_a 3.570
_cell_length_b 3.570
_cell_length_c 7.782
_cell_angle_alpha 90.00
_cell_angle_beta 90.00
_cell_angle_gamma 90.00
_space_group_name_H-M_alt 'P 4 m m'
_space_group_IT_number 99
loop_
_space_group_symop_operation_xyz
'x,y,z'
'-y,x,z'
'-x,-y,z'
'y,-x,z'
'-x,y,z'
'y,x,z'
'x,-y,z'
'-y,-x,z'
loop_
_atom_site_label
_atom_site_type_symbol
_atom_site_fract_x
_atom_site_fract_y
_atom_site_fract_z
Pm1 Pm 0.000 0.000 0.000
Nd1 Nd 0.000 0.000 0.440
Hg1 Hg 0.500 0.500 0.723
Ru1 Ru 0.500 0.500 0.218

***

The structure with the least stability is #one.

***

#one
# Pr6Nd2Hg (PBE-GGA, relaxed)
# total moment	0.00	μB per formula unit
data_Pr6Nd2Hg
_chemical_formula_sum 'Pr6 Nd2 Hg1'
_cell_length_a 9.7637
_cell_length_b 9.7637
_cell_length_c 3.7968
_cell_angle_alpha 90.00
_cell_angle_beta 90.00
_cell_angle_gamma 120.00
_space_group_name_H-M_alt 'P -6 2 m'
_space_group_IT_number 189
_space_group_name_Hall 'P -6 -2'
loop_
_atom_site_label
_atom_site_type_symbol
_atom_site_fract_x
_atom_site_fract_y
_atom_site_fract_z
Pr1 Pr 0.0000 0.2691 0.0000
Pr2 Pr 0.0000 0.6213 0.5000
Nd1 Nd 0.3333 0.6667 0.0000
Hg1 Hg 0.0000 0.0000 0.5000

***

#two
# Pr6Nd2Hg (PBE-GGA, relaxed)
# total moment	0.00	μB per formula unit
data_Pr6Nd2Hg
_chemical_formula_sum 'Pr12 Nd4 Hg2'
_cell_length_a 10.497
_cell_length_b 10.542
_cell_length_c 5.591
_cell_angle_alpha 90.00
_cell_angle_beta 90.00
_cell_angle_gamma 90.00
_space_group_name_H-M_alt 'P n n m'
_space_group_IT_number 58
loop_
_space_group_symop_operation_xyz
'x,y,z'
'-x,-y,-z'
'-x,-y,z'
'x,y,-z'
'x+1/2,-y+1/2,-z+1/2'
'-x+1/2,y+1/2,z+1/2'
'-x+1/2,y+1/2,-z+1/2'
'x+1/2,-y+1/2,z+1/2'
loop_
_atom_site_label
_atom_site_type_symbol
_atom_site_fract_x
_atom_site_fract_y
_atom_site_fract_z
Pr1 Pr 0.037 0.184 0.000
Pr2 Pr 0.128 0.622 0.500
Pr3 Pr 0.183 0.954 0.500
Nd1 Nd 0.213 0.278 0.500
Hg1 Hg 0.000 0.500 0.000

***

The structure with the least stability is #two.

***

#one
# PrNd2Hg8 (PBE-GGA, relaxed)
# total moment	0.00	μB per formula unit
data_PrNd2Hg8
_chemical_formula_sum 'Pr2 Nd4 Hg16'
_cell_length_a 16.281
_cell_length_b 5.101
_cell_length_c 7.364
_cell_angle_alpha 90.00
_cell_angle_beta 110.21
_cell_angle_gamma 90.00
_space_group_name_H-M_alt 'C 1 2/m 1'
_space_group_IT_number 12
loop_
_space_group_symop_operation_xyz
'x,y,z'
'-x,-y,-z'
'-x,y,-z'
'x,-y,z'
'x+1/2,y+1/2,z'
'-x+1/2,-y+1/2,-z'
'-x+1/2,y+1/2,-z'
'x+1/2,-y+1/2,z'
loop_
_atom_site_label
_atom_site_type_symbol
_atom_site_fract_x
_atom_site_fract_y
_atom_site_fract_z
Pr1 Pr 0.000 0.000 0.000
Nd1 Nd 0.209 0.500 0.652
Hg1 Hg 0.022 0.500 0.727
Hg2 Hg 0.094 0.000 0.459
Hg3 Hg 0.152 0.500 0.172
Hg4 Hg 0.173 0.000 0.900

***

#two
# PrNd2Hg8 (PBE-GGA, relaxed)
# total moment	0.00	μB per formula unit
data_PrNd2Hg8
_chemical_formula_sum 'Pr2 Nd4 Hg16'
_cell_length_a 5.252
_cell_length_b 7.450
_cell_length_c 15.013
_cell_angle_alpha 90.00
_cell_angle_beta 90.00
_cell_angle_gamma 90.00
_space_group_name_H-M_alt 'I m m m'
_space_group_IT_number 71
_space_group_name_Hall '-I 2 2'
loop_
_atom_site_label
_atom_site_type_symbol
_atom_site_fract_x
_atom_site_fract_y
_atom_site_fract_z
Pr1 Pr 0.000 0.000 0.000
Nd1 Nd 0.000 0.000 0.310
Hg1 Hg 0.000 0.211 0.500
Hg2 Hg 0.000 0.287 0.149
Hg3 Hg 0.000 0.500 0.342

***

The structure with the least stability is #two.

***

#one
# Pr2NdHg4 (PBE-GGA, relaxed)
# total moment	0.00	μB per formula unit
data_Pr2NdHg4
_chemical_formula_sum 'Pr6 Nd3 Hg12'
_cell_length_a 5.2529
_cell_length_b 5.2529
_cell_length_c 27.1617
_cell_angle_alpha 90.00
_cell_angle_beta 90.00
_cell_angle_gamma 120.00
_space_group_name_H-M_alt 'R -3 m'
_space_group_IT_number 166
_space_group_name_Hall '-R 3 2"'
loop_
_atom_site_label
_atom_site_type_symbol
_atom_site_fract_x
_atom_site_fract_y
_atom_site_fract_z
Pr1 Pr 0.0000 0.0000 0.2432
Nd1 Nd 0.0000 0.0000 0.0000
Hg1 Hg 0.0000 0.0000 0.1264
Hg2 Hg 0.0000 0.0000 0.3743

***

#two
# Pr2NdHg4 (PBE-GGA, relaxed)
# total moment	0.00	μB per formula unit
data_Pr2NdHg4
_chemical_formula_sum 'Pr4 Nd2 Hg8'
_cell_length_a 5.874
_cell_length_b 5.874
_cell_length_c 12.529
_cell_angle_alpha 90.00
_cell_angle_beta 90.00
_cell_angle_gamma 90.00
_space_group_name_H-M_alt 'I 4/m m m'
_space_group_IT_number 139
_space_group_name_Hall '-I 4 2'
loop_
_atom_site_label
_atom_site_type_symbol
_atom_site_fract_x
_atom_site_fract_y
_atom_site_fract_z
Pr1 Pr 0.000 0.000 0.142
Nd1 Nd 0.000 0.000 0.500
Hg1 Hg 0.000 0.500 0.000
Hg2 Hg 0.000 0.500 0.250

***

The structure with the least stability is #two.

***

#one
# Pr4NdHg (PBE-GGA, relaxed)
# total moment	0.00	μB per formula unit
data_Pr4NdHg
_chemical_formula_sum 'Pr4 Nd1 Hg1'
_cell_length_a 3.745
_cell_length_b 3.745
_cell_length_c 14.400
_cell_angle_alpha 90.00
_cell_angle_beta 90.00
_cell_angle_gamma 90.00
_space_group_name_H-M_alt 'P 4/m m m'
_space_group_IT_number 123
_space_group_name_Hall '-P 4 2'
loop_
_atom_site_label
_atom_site_type_symbol
_atom_site_fract_x
_atom_site_fract_y
_atom_site_fract_z
Pr1 Pr 0.000 0.000 0.141
Pr2 Pr 0.500 0.500 0.321
Nd1 Nd 0.000 0.000 0.500
Hg1 Hg 0.500 0.500 0.000

***

#two
# Pr4NdHg (PBE-GGA, relaxed)
# total moment	0.00	μB per formula unit
data_Pr4NdHg
_chemical_formula_sum 'Pr16 Nd4 Hg4'
_cell_length_a 9.150
_cell_length_b 14.292
_cell_length_c 6.612
_cell_angle_alpha 90.00
_cell_angle_beta 109.27
_cell_angle_gamma 90.00
_space_group_name_H-M_alt 'C 1 2/c 1'
_space_group_IT_number 15
loop_
_space_group_symop_operation_xyz
'x,y,z'
'-x,-y,-z'
'-x,y,-z+1/2'
'x,-y,z+1/2'
'x+1/2,y+1/2,z'
'-x+1/2,-y+1/2,-z'
'-x+1/2,y+1/2,-z+1/2'
'x+1/2,-y+1/2,z+1/2'
loop_
_atom_site_label
_atom_site_type_symbol
_atom_site_fract_x
_atom_site_fract_y
_atom_site_fract_z
Pr1 Pr 0.099 0.188 0.049
Pr2 Pr 0.218 0.385 0.375
Nd1 Nd 0.000 0.409 0.750
Hg1 Hg 0.000 0.002 0.750

***

The structure with the least stability is #two.

***

#one
# PrNdHg4 (PBE-GGA, relaxed)
# total moment	0.00	μB per formula unit
data_PrNdHg4
_chemical_formula_sum 'Pr4 Nd4 Hg16'
_cell_length_a 8.551
_cell_length_b 8.551
_cell_length_c 8.551
_cell_angle_alpha 90.00
_cell_angle_beta 90.00
_cell_angle_gamma 90.00
_space_group_name_H-M_alt 'F -4 3 m'
_space_group_IT_number 216
_space_group_name_Hall 'F -4 2 3'
loop_
_atom_site_label
_atom_site_type_symbol
_atom_site_fract_x
_atom_site_fract_y
_atom_site_fract_z
Pr1 Pr 0.000 0.000 0.000
Nd1 Nd 0.250 0.250 0.250
Hg1 Hg 0.125 0.125 0.625

***

#two
# PrNdHg4 (PBE-GGA, relaxed)
# total moment	0.36	μB per formula unit
data_PrNdHg4
_chemical_formula_sum 'Pr1 Nd1 Hg4'
_cell_length_a 3.487
_cell_length_b 5.103
_cell_length_c 8.757
_cell_angle_alpha 90.00
_cell_angle_beta 90.00
_cell_angle_gamma 90.00
_space_group_name_H-M_alt 'P m m m'
_space_group_IT_number 47
loop_
_space_group_symop_operation_xyz
'x,y,z'
'-x,-y,-z'
'-x,-y,z'
'x,y,-z'
'x,-y,-z'
'-x,y,z'
'-x,y,-z'
'x,-y,z'
loop_
_atom_site_label
_atom_site_type_symbol
_atom_site_fract_x
_atom_site_fract_y
_atom_site_fract_z
Pr1 Pr 0.000 0.000 0.000
Nd1 Nd 0.000 0.500 0.500
Hg1 Hg 0.500 0.000 0.334
Hg2 Hg 0.500 0.500 0.168

***

#three
# PrNdHg4 (PBE-GGA, relaxed)
# total moment	0.00	μB per formula unit
data_PrNdHg4
_chemical_formula_sum 'Pr2 Nd2 Hg8'
_cell_length_a 5.329
_cell_length_b 4.102
_cell_length_c 14.810
_cell_angle_alpha 90.00
_cell_angle_beta 90.00
_cell_angle_gamma 90.00
_space_group_name_H-M_alt 'A m m 2'
_space_group_IT_number 38
loop_
_space_group_symop_operation_xyz
'x,y,z'
'-x,-y,z'
'-x,y,z'
'x,-y,z'
'x,y+1/2,z+1/2'
'-x,-y+1/2,z+1/2'
'-x,y+1/2,z+1/2'
'x,-y+1/2,z+1/2'
loop_
_atom_site_label
_atom_site_type_symbol
_atom_site_fract_x
_atom_site_fract_y
_atom_site_fract_z
Pr1 Pr 0.000 0.000 0.000
Nd1 Nd 0.500 0.000 0.208
Hg1 Hg 0.000 0.000 0.333
Hg2 Hg 0.000 0.000 0.672
Hg3 Hg 0.500 0.000 0.538
Hg4 Hg 0.500 0.000 0.874

***

The structure with the least stability is #one.